The following is a DFT calculation (PBE-GGA) of a relaxed structure of BiSbPdAu.

Structure (POSCAR):
```
BiSbPdAu
1.0
-3.0604 2.8164 2.7834
-4.3929 -1.8427 1.5336
-0.7045 -1.0948 4.8322
Au Sb Pd Bi
1 1 1 1
Cartesian
-6.1183 -0.0908 6.8619 Au
-4.0789 -0.0606 4.5746 Sb
-2.0394 -0.0303 2.2873 Pd
0.0000 0.0000 0.0000 Bi
```

Computed properties:
ΔE_f (raw): -0.0537 eV per atom
V: 88.63 Å³ per cell
Total energy: -4.172 eV/atom
Space group: F-43m
Total magnetization: 0.000 μB/cell